1.
# Y2ZrPt (PBE, optimized geometry)
# * spin magnetization: 0.0 μB per formula unit
# * calculated formation energy: -549 meV per atom
# * total energy: -7.4287 eV per atom
# * relative energy among the computed polymorphs: 0.0000 eV per atom
data_Y2ZrPt
_space_group_name_H-M_alt 'I m m 2'
_space_group_IT_number 44
_cell_length_a 3.571
_cell_length_b 5.138
_cell_length_c 10.781
_cell_angle_alpha 90.00
_cell_angle_beta 90.00
_cell_angle_gamma 90.00
loop_
_space_group_symop_operation_xyz
'x,y,z'
'-x,-y,z'
'-x,y,z'
'x,-y,z'
'x+1/2,y+1/2,z+1/2'
'-x+1/2,-y+1/2,z+1/2'
'-x+1/2,y+1/2,z+1/2'
'x+1/2,-y+1/2,z+1/2'
loop_
_atom_site_label
_atom_site_type_symbol
_atom_site_fract_x
_atom_site_fract_y
_atom_site_fract_z
Y1 Y 0.000 0.000 0.000
Y2 Y 0.000 0.500 0.210
Zr1 Zr 0.000 0.000 0.417
Pt1 Pt 0.000 0.500 0.723

=====

2.
# Y4ZrPt (PBE, optimized geometry)
# * spin magnetization: 1.1 μB per formula unit
# * calculated formation energy: 467 meV per atom
# * total energy: -6.2738 eV per atom
data_Y4ZrPt
_space_group_name_H-M_alt 'F -4 3 m'
_space_group_IT_number 216
_space_group_name_Hall 'F -4 2 3'
_cell_length_a 8.648
_cell_length_b 8.648
_cell_length_c 8.648
_cell_angle_alpha 90.00
_cell_angle_beta 90.00
_cell_angle_gamma 90.00
loop_
_atom_site_label
_atom_site_type_symbol
_atom_site_fract_x
_atom_site_fract_y
_atom_site_fract_z
Y1 Y 0.125 0.125 0.125
Zr1 Zr 0.250 0.250 0.750
Pt1 Pt 0.000 0.000 0.500

=====

3.
# YZr2Pt2 (PBE, optimized geometry)
# * spin magnetization: 0.0 μB per formula unit
# * calculated formation energy: -865 meV per atom
# * total energy: -7.9936 eV per atom
# * relative energy among the computed polymorphs: 0.0000 eV per atom
data_YZr2Pt2
_space_group_name_H-M_alt 'P 4/m b m'
_space_group_IT_number 127
_space_group_name_Hall '-P 4 2ab'
_cell_length_a 7.804
_cell_length_b 7.804
_cell_length_c 3.475
_cell_angle_alpha 90.00
_cell_angle_beta 90.00
_cell_angle_gamma 90.00
loop_
_atom_site_label
_atom_site_type_symbol
_atom_site_fract_x
_atom_site_fract_y
_atom_site_fract_z
Y1 Y 0.000 0.000 0.000
Zr1 Zr 0.165 0.335 0.500
Pt1 Pt 0.129 0.629 0.000

=====

4.
# YZr2Pt (PBE, optimized geometry)
# * spin magnetization: 0.0 μB per formula unit
# * calculated formation energy: -385 meV per atom
# * total energy: -7.7848 eV per atom
# * relative energy among the computed polymorphs: 0.1377 eV per atom
data_YZr2Pt
_space_group_name_H-M_alt 'I 4/m m m'
_space_group_IT_number 139
_space_group_name_Hall '-I 4 2'
_cell_length_a 4.134
_cell_length_b 4.134
_cell_length_c 10.336
_cell_angle_alpha 90.00
_cell_angle_beta 90.00
_cell_angle_gamma 90.00
loop_
_atom_site_label
_atom_site_type_symbol
_atom_site_fract_x
_atom_site_fract_y
_atom_site_fract_z
Y1 Y 0.000 0.000 0.000
Zr1 Zr 0.000 0.500 0.250
Pt1 Pt 0.000 0.000 0.500